[1]
{
  "formula": "NbFeB",
  "functional": "GGA-PBE",
  "state": "optimized geometry",
  "energy_ev_per_atom": -8.6216,
  "mass_density_g_cm3": 7.45,
  "ef_ev_per_atom": -0.218,
  "lattice": [[5.5461, 0.0000, 0.0186], [0.0000, 3.1603, 0.0000], [-3.0911, 0.0000, 8.1079]],
  "species": ["Nb", "Nb", "Nb", "Nb", "B", "B", "B", "B", "Fe", "Fe", "Fe", "Fe"],
  "frac_coords": [[0.6065, 0.0000, 0.4050], [0.6065, 0.5000, 0.9050], [0.2253, 0.0000, 0.6336], [0.2253, 0.5000, 0.1336], [0.6684, 0.0000, 0.7031], [0.6684, 0.5000, 0.2031], [0.5067, 0.0000, 0.0972], [0.5067, 0.5000, 0.5972], [0.0703, 0.0000, 0.8948], [0.0703, 0.5000, 0.3948], [0.8959, 0.0000, 0.1689], [0.8959, 0.5000, 0.6689]]
}



[2]
{
  "formula": "Nb2FeB2",
  "functional": "GGA-PBE",
  "state": "optimized geometry",
  "energy_ev_per_atom": -8.9926,
  "mass_density_g_cm3": 7.70,
  "ef_ev_per_atom": -0.601,
  "lattice": [[3.2450, 0.0000, 0.0000], [1.6225, 4.3669, 0.3319], [1.6225, 1.4892, 4.1186]],
  "species": ["Nb", "Nb", "Fe", "B", "B"],
  "frac_coords": [[0.2094, 0.2906, 0.2906], [0.7906, 0.7094, 0.7094], [0.0000, 0.0000, 0.0000], [0.5000, 0.3056, 0.6944], [0.5000, 0.6944, 0.3056]]
}



[3]
{
  "formula": "NbFeB",
  "functional": "GGA-PBE",
  "state": "optimized geometry",
  "energy_ev_per_atom": -8.5416,
  "mass_density_g_cm3": 7.63,
  "ef_ev_per_atom": -0.138,
  "lattice": [[3.6834, 0.0000, 0.0000], [-1.8417, 3.1899, 0.0000], [0.0000, 0.0000, 2.9539]],
  "species": ["Nb", "B", "Fe"],
  "frac_coords": [[0.3333, 0.6667, 0.0000], [0.0000, 0.0000, 0.5000], [0.6667, 0.3333, 0.5000]]
}